Entry 1:
# CrInRe3 (PBE-GGA, optimized geometry)
data_CrInRe3
_cell_length_a 4.736
_cell_length_b 4.736
_cell_length_c 4.736
_cell_angle_alpha 90.00
_cell_angle_beta 90.00
_cell_angle_gamma 90.00
_space_group_name_H-M_alt 'P m -3 m'
_space_group_IT_number 221
_space_group_name_Hall '-P 4 2 3'
loop_
_atom_site_label
_atom_site_type_symbol
_atom_site_fract_x
_atom_site_fract_y
_atom_site_fract_z
_atom_site_occupancy
Cr1 Cr 0.000 0.000 0.000 1
In1 In 0.500 0.500 0.500 1
Re1 Re 0.000 0.500 0.500 1
# E_form, meV/atom: 3358
# Total moment, μB/f.u.: 0.00

---

Entry 2:
# Hf2Bi2Se (PBE-GGA, optimized geometry)
data_Hf2Bi2Se
_cell_length_a 4.414
_cell_length_b 4.414
_cell_length_c 14.161
_cell_angle_alpha 90.00
_cell_angle_beta 90.00
_cell_angle_gamma 90.00
_space_group_name_H-M_alt 'I 4/m m m'
_space_group_IT_number 139
_space_group_name_Hall '-I 4 2'
loop_
_atom_site_label
_atom_site_type_symbol
_atom_site_fract_x
_atom_site_fract_y
_atom_site_fract_z
_atom_site_occupancy
Hf1 Hf 0.000 0.000 0.101 1
Bi1 Bi 0.000 0.500 0.250 1
Se1 Se 0.000 0.000 0.500 1
# Total moment, μB/f.u.: 0.00
# Raw formation energy, meV per atom: 257

---

Entry 3:
# K6Pd7 (PBE-GGA, optimized geometry)
data_K6Pd7
_cell_length_a 5.8043
_cell_length_b 5.8043
_cell_length_c 31.9221
_cell_angle_alpha 90.00
_cell_angle_beta 90.00
_cell_angle_gamma 120.00
_space_group_name_H-M_alt 'R -3 m'
_space_group_IT_number 166
_space_group_name_Hall '-R 3 2"'
loop_
_atom_site_label
_atom_site_type_symbol
_atom_site_fract_x
_atom_site_fract_y
_atom_site_fract_z
_atom_site_occupancy
K1 K 0.0000 0.0000 0.0561 1
K2 K 0.0000 0.0000 0.1534 1
K3 K 0.0000 0.0000 0.3368 1
Pd1 Pd 0.0000 0.0000 0.5000 1
Pd2 Pd 0.9999 0.5000 0.0943 1
# E_form, meV/atom: 64
# Total moment, μB/f.u.: 0.00

---

Entry 4:
# La4PmSn2 (PBE-GGA, optimized geometry)
data_La4PmSn2
_cell_length_a 9.056
_cell_length_b 10.595
_cell_length_c 4.983
_cell_angle_alpha 90.00
_cell_angle_beta 90.00
_cell_angle_gamma 90.00
_space_group_name_H-M_alt 'C m m m'
_space_group_IT_number 65
_space_group_name_Hall '-C 2 2'
loop_
_atom_site_label
_atom_site_type_symbol
_atom_site_fract_x
_atom_site_fract_y
_atom_site_fract_z
_atom_site_occupancy
La1 La 0.210 0.000 0.000 1
La2 La 0.250 0.250 0.500 1
Pm1 Pm 0.000 0.500 0.500 1
Sn1 Sn 0.000 0.283 0.000 1
# E_form, meV/atom: -459
# Total moment, μB/f.u.: 0.00